Compound: Ba2PaNi3H12
Source: the Alexandria database
Functional: GGA-PBE
Structure: relaxed

Summary:
The total energy is -4.199 eV/atom. Its symmetry is R-3m (166). The value obtained for the total magnetization is 0.069 μB/atom.

Cell and atoms, written as CIF:
```
data_Ba2PaNi3H12
_chemical_formula_sum 'Ba2 Pa1 Ni3 H12'
_cell_length_a 6.172
_cell_length_b 6.172
_cell_length_c 6.172
_cell_angle_alpha 67.22
_cell_angle_beta 67.22
_cell_angle_gamma 67.22
_space_group_name_H-M_alt 'P 1'
_space_group_IT_number 1
_space_group_name_Hall 'P 1'
loop_
_atom_site_label
_atom_site_fract_x
_atom_site_fract_y
_atom_site_fract_z
_atom_site_occupancy
H1 0.922 0.259 0.259 1
H2 0.118 0.599 0.118 1
H3 0.599 0.118 0.118 1
H4 0.259 0.922 0.259 1
Ba1 0.617 0.617 0.617 1
Pa1 0.000 0.000 0.000 1
H5 0.078 0.741 0.741 1
H6 0.118 0.118 0.599 1
H7 0.882 0.401 0.882 1
H8 0.259 0.259 0.922 1
Ni1 0.000 0.500 0.000 1
H9 0.882 0.882 0.401 1
Ni2 0.500 0.000 0.000 1
H10 0.741 0.078 0.741 1
H11 0.401 0.882 0.882 1
H12 0.741 0.741 0.078 1
Ni3 0.000 0.000 0.500 1
Ba2 0.383 0.383 0.383 1
```

Compound: BaNi2HPb
Source: the Alexandria database
Functional: GGA-PBE
Structure: relaxed

Summary:
The total energy is -3.551 eV/atom. Its symmetry is P4/mmm (123). The value obtained for the total magnetization is 0.123 μB/atom.

Cell and atoms, written as CIF:
```
data_BaNi2HPb
_chemical_formula_sum 'Ba1 Ni2 H1 Pb1'
_cell_length_a 4.737
_cell_length_b 4.412
_cell_length_c 4.737
_cell_angle_alpha 90.00
_cell_angle_beta 90.00
_cell_angle_gamma 90.00
_space_group_name_H-M_alt 'P 1'
_space_group_IT_number 1
_space_group_name_Hall 'P 1'
loop_
_atom_site_label
_atom_site_fract_x
_atom_site_fract_y
_atom_site_fract_z
_atom_site_occupancy
Pb1 0.000 0.500 0.000 1
Ni1 0.000 0.000 0.500 1
H1 0.000 0.000 0.000 1
Ni2 0.500 0.000 0.000 1
Ba1 0.500 0.500 0.500 1
```

Compound: Ba2NiHPd
Source: the Alexandria database
Functional: GGA-PBE
Structure: relaxed

Summary:
The polymorph energy (0 for the lowest one) comes out at 0.000 eV/atom. The total energy is -3.873 eV/atom. Its symmetry is P4/mmm (123). The value obtained for the total magnetization is 0.000 μB/atom.

Cell and atoms, written as CIF:
```
data_Ba2NiHPd
_chemical_formula_sum 'Ba2 Ni1 H1 Pd1'
_cell_length_a 5.579
_cell_length_b 5.579
_cell_length_c 3.702
_cell_angle_alpha 90.00
_cell_angle_beta 90.00
_cell_angle_gamma 90.00
_space_group_name_H-M_alt 'P 1'
_space_group_IT_number 1
_space_group_name_Hall 'P 1'
loop_
_atom_site_label
_atom_site_fract_x
_atom_site_fract_y
_atom_site_fract_z
_atom_site_occupancy
Ba1 0.000 0.500 0.000 1
Ni1 0.000 0.000 0.500 1
H1 0.000 0.000 0.000 1
Pd1 0.500 0.500 0.500 1
Ba2 0.500 0.000 0.000 1
```

Compound: Ba2NiH6Pd
Source: the Alexandria database
Functional: GGA-PBE
Structure: relaxed

Summary:
The total energy is -3.922 eV/atom. Its symmetry is I4/mmm (139). The value obtained for the total magnetization is 0.000 μB/atom.

Cell and atoms, written as CIF:
```
data_Ba2NiH6Pd
_chemical_formula_sum 'Ba2 Ni1 H6 Pd1'
_cell_length_a 5.738
_cell_length_b 5.737
_cell_length_c 5.633
_cell_angle_alpha 120.65
_cell_angle_beta 120.64
_cell_angle_gamma 90.00
_space_group_name_H-M_alt 'P 1'
_space_group_IT_number 1
_space_group_name_Hall 'P 1'
loop_
_atom_site_label
_atom_site_fract_x
_atom_site_fract_y
_atom_site_fract_z
_atom_site_occupancy
H1 0.273 0.273 0.546 1
H2 0.801 0.199 0.000 1
Ba1 0.750 0.250 0.500 1
H3 0.198 0.802 0.000 1
H4 0.198 0.199 0.999 1
Ba2 0.250 0.750 0.500 1
H5 0.801 0.802 0.000 1
Pd1 0.500 0.500 0.000 1
H6 0.727 0.728 0.454 1
Ni1 0.000 0.000 0.000 1
```